{
  "formula": "FeHgRu2O",
  "functional": "GGA+U",
  "state": "relaxed",
  "cell": [[-2.442, -2.501, -2.588], [3.921, -0.897, -2.832], [0.968, -3.469, 2.439]],
  "species": ["Ru", "Ru", "Fe", "O", "Hg"],
  "frac_coords": [[0.000, 0.000, 0.500], [0.500, 0.000, 0.000], [0.000, 0.000, 0.000], [0.500, 0.500, 0.500], [0.000, 0.500, 0.000]],
  "energy_ev_per_atom": -3.67,
  "sg": "No. 123",
  "polymorph_energy_mev_per_atom": 1325
}